# PBE LiTiNb3, optimized geometry
data_LiTiNb3
_chemical_formula_sum 'Li1 Ti1 Nb3'
_space_group_name_H-M_alt 'P m -3 m'
_space_group_IT_number 221
_space_group_name_Hall '-P 4 2 3'
_cell_length_a 4.453
_cell_length_b 4.453
_cell_length_c 4.453
_cell_angle_alpha 90.00
_cell_angle_beta 90.00
_cell_angle_gamma 90.00
loop_
_atom_site_label
_atom_site_type_symbol
_atom_site_fract_x
_atom_site_fract_y
_atom_site_fract_z
_atom_site_occupancy
Li1 Li 0.000 0.000 0.000 1
Ti1 Ti 0.500 0.500 0.500 1
Nb1 Nb 0.000 0.000 0.500 1
# Volume = 17.66 A^3/atom
# Distance to the lowest polymorph of the same formula = 0 meV per atom
# Density = 6.27 g/cm³
# Formation energy from the elements = 1.03 eV/atom
# Final energy = -34.9 eV for the cell shown